{"formula": "ZrC", "functional": "GGA-PBE", "state": "relaxed", "sg": "I4/mcm (140)", "relative_energy_mev_per_atom": 407, "crystal_system": "tetragonal", "vol_a3_per_cell": 283.06, "ef_mev_per_atom": -400, "cell": [[7.770, 0.000, 0.000], [0.000, 7.770, 0.000], [0.000, 0.000, 4.688]], "species": ["Zr", "Zr", "Zr", "Zr", "Zr", "Zr", "Zr", "Zr", "C", "C", "C", "C", "C", "C", "C", "C"], "frac_coords": [[0.854, 0.354, 0.000], [0.854, 0.646, 0.500], [0.146, 0.354, 0.500], [0.146, 0.646, 0.000], [0.646, 0.146, 0.500], [0.646, 0.854, 0.000], [0.354, 0.146, 0.000], [0.354, 0.854, 0.500], [0.647, 0.147, 0.000], [0.647, 0.853, 0.500], [0.353, 0.147, 0.500], [0.353, 0.853, 0.000], [0.853, 0.353, 0.500], [0.853, 0.647, 0.000], [0.147, 0.353, 0.000], [0.147, 0.647, 0.500]]}